Record 1
Li4Th3CuS8: relaxed, PBE.

abc: 7.7176 7.7176 7.7029
angles: 117.60 117.60 60.02
With the nearest neighbours (Å) after each atom.
Fractional coordinates of all 16 atoms:
Li  0.0000  0.0000  0.0000  6 S 2.65-2.85
Li  0.0000  0.5000  0.5000  6 S 2.63-2.87
Li  0.5000  0.0000  0.5000  6 S 2.63-2.87
Li  0.5000  0.5000  0.0000  6 S 2.68-2.83
Th  0.0000  0.0000  0.5000  6 S 2.78-2.83
Th  0.0000  0.5000  0.0000  6 S 2.78-2.83
Th  0.5000  0.0000  0.0000  6 S 2.78-2.83
Cu  0.5000  0.5000  0.5000  4 S 2.61
S  0.2336  0.2336  0.2439  3 Li 2.65-2.68, 2 Th 2.78
S  0.2504  0.2504  0.7318  3 Li 2.63-2.83, 3 Th 2.83
S  0.2622  0.7310  0.2531  1 Cu 2.61, 3 Li 2.68-2.87, 2 Th 2.78-2.79
S  0.2690  0.7378  0.7469  1 Cu 2.61, 3 Li 2.68-2.87, 2 Th 2.78-2.79
S  0.7310  0.2622  0.2531  1 Cu 2.61, 3 Li 2.68-2.87, 2 Th 2.78-2.79
S  0.7378  0.2690  0.7469  1 Cu 2.61, 3 Li 2.68-2.87, 2 Th 2.78-2.79
S  0.7496  0.7496  0.2682  3 Li 2.63-2.83, 3 Th 2.83
S  0.7664  0.7664  0.7561  3 Li 2.65-2.68, 2 Th 2.78

Values from the calculation:
Density in g cm⁻³: 5.16
Uncorrected formation energy in eV/atom: -1.45
Magnetization in μB/cell: 0.000
Calculated volume in Å³/cell: 335.8



Record 2
Li2TiCu2S4: relaxed, PBE.

abc: 7.0336 7.0336 6.9228
angles: 118.48 118.48 29.33
With the nearest neighbours (Å) after each atom.
Fractional coordinates of all 9 atoms:
Li  0.1520  0.1520  0.0223  5 S 2.55-2.65
Li  0.8480  0.8480  0.9777  5 S 2.55-2.65
Ti  0.0000  0.0000  0.5000  6 S 2.48-2.54
Cu  0.3257  0.3257  0.5286  4 S 2.23-2.43
Cu  0.6743  0.6743  0.4714  4 S 2.23-2.43
S  0.2147  0.2147  0.7162  3 Cu 2.33-2.43, 1 Ti 2.54, 2 Li 2.55
S  0.4881  0.4881  0.2400  1 Cu 2.23, 2 Ti 2.48
S  0.5119  0.5119  0.7600  1 Cu 2.23, 2 Ti 2.48
S  0.7853  0.7853  0.2838  3 Cu 2.33-2.43, 1 Ti 2.54, 2 Li 2.55

Values from the calculation:
Density in g cm⁻³: 3.61
Uncorrected formation energy in eV/atom: -0.94
Magnetization in μB/cell: 0.000
Calculated volume in Å³/cell: 146.0



Record 3
Li3Ti3CuS8: relaxed, PBE.

abc: 6.9766 6.9787 7.2883
angles: 90.09 118.57 119.93
With the nearest neighbours (Å) after each atom.
Fractional coordinates of all 15 atoms:
Li  0.0000  0.0000  0.0000  6 S 2.57-2.62
Li  0.0000  0.5000  0.0000  6 S 2.57-2.62
Li  0.5000  0.0000  0.0000  6 S 2.57-2.62
Ti  0.0000  0.0000  0.5000  6 S 2.43-2.48
Ti  0.0000  0.5000  0.5000  6 S 2.43-2.48
Ti  0.5000  0.5000  0.5000  6 S 2.43-2.48
Cu  0.5000  0.0000  0.5000  6 S 2.46-2.47
S  0.0089  0.2541  0.2631  3 Ti 2.48, 3 Li 2.57
S  0.0111  0.7553  0.2724  2 Ti 2.43, 1 Cu 2.46, 2 Li 2.61-2.62
S  0.4824  0.7372  0.7281  2 Ti 2.43, 1 Cu 2.47, 2 Li 2.62
S  0.4828  0.2440  0.7269  2 Ti 2.43, 1 Cu 2.46, 2 Li 2.62
S  0.5172  0.7560  0.2731  2 Ti 2.43, 1 Cu 2.46, 2 Li 2.62
S  0.5176  0.2628  0.2719  2 Ti 2.43, 1 Cu 2.47, 2 Li 2.62
S  0.9889  0.2447  0.7276  2 Ti 2.43, 1 Cu 2.46, 2 Li 2.61-2.62
S  0.9911  0.7459  0.7369  3 Ti 2.48, 3 Li 2.57

Values from the calculation:
Density in g cm⁻³: 3.14
Uncorrected formation energy in eV/atom: -1.15
Magnetization in μB/cell: 0.009
Calculated volume in Å³/cell: 256.3



Record 4
Li4Ti3CuS8: relaxed, PBE.

abc: 7.2735 7.2735 7.2735
angles: 57.83 57.83 57.83
With the nearest neighbours (Å) after each atom.
Fractional coordinates of all 16 atoms:
Li  0.0000  0.0000  0.0000  6 S 2.58
Li  0.0000  0.5000  0.5000  6 S 2.58-2.61
Li  0.5000  0.0000  0.5000  6 S 2.58-2.61
Li  0.5000  0.5000  0.0000  6 S 2.58-2.61
Ti  0.0000  0.0000  0.5000  6 S 2.45-2.48
Ti  0.0000  0.5000  0.0000  6 S 2.45-2.48
Ti  0.5000  0.0000  0.0000  6 S 2.45-2.48
Cu  0.5000  0.5000  0.5000  6 S 2.49
S  0.2388  0.7462  0.7462  2 Ti 2.45, 1 Cu 2.49, 3 Li 2.58-2.61
S  0.2456  0.2456  0.2456  3 Ti 2.48, 3 Li 2.58
S  0.2538  0.2538  0.7612  2 Ti 2.45, 1 Cu 2.49, 3 Li 2.58-2.61
S  0.2538  0.7612  0.2538  2 Ti 2.45, 1 Cu 2.49, 3 Li 2.58-2.61
S  0.7462  0.2388  0.7462  2 Ti 2.45, 1 Cu 2.49, 3 Li 2.58-2.61
S  0.7462  0.7462  0.2388  2 Ti 2.45, 1 Cu 2.49, 3 Li 2.58-2.61
S  0.7544  0.7544  0.7544  3 Ti 2.48, 3 Li 2.58
S  0.7612  0.2538  0.2538  2 Ti 2.45, 1 Cu 2.49, 3 Li 2.58-2.61

Values from the calculation:
Density in g cm⁻³: 3.16
Uncorrected formation energy in eV/atom: -1.21
Magnetization in μB/cell: 0.001
Calculated volume in Å³/cell: 258.6



Record 5
LiTlCuS2: relaxed, PBE.

abc: 6.8494 6.8494 9.9148
angles: 124.42 124.42 33.40
With the nearest neighbours (Å) after each atom.
Fractional coordinates of all 10 atoms:
Li  0.1445  0.1445  0.4214  4 S 2.41-2.48
Li  0.8555  0.8555  0.5786  4 S 2.41-2.48
Tl  0.3272  0.3272  0.8792  5 S 2.99-3.17
Tl  0.6728  0.6728  0.1208  5 S 2.99-3.17
Cu  0.4571  0.4571  0.3246  4 S 2.31-2.37
Cu  0.5429  0.5429  0.6754  4 S 2.31-2.37
S  0.0746  0.0746  0.8169  2 Cu 2.31, 1 Li 2.41
S  0.3350  0.3350  0.4244  2 Cu 2.33-2.37, 3 Li 2.41-2.48
S  0.6650  0.6650  0.5756  2 Cu 2.33-2.37, 3 Li 2.41-2.48
S  0.9254  0.9254  0.1831  2 Cu 2.31, 1 Li 2.41

Values from the calculation:
Density in g cm⁻³: 5.45
Uncorrected formation energy in eV/atom: -0.53
Magnetization in μB/cell: 0.000
Calculated volume in Å³/cell: 206.7



Record 6
LiTl2CuS2: relaxed, PBE.

abc: 9.4972 9.4972 9.4972
angles: 145.56 49.21 145.95
With the nearest neighbours (Å) after each atom.
Fractional coordinates of all 12 atoms:
Li  0.2500  0.2500  0.0000  4 S 2.44
Li  0.7500  0.7500  0.0000  4 S 2.44
Tl  0.1636  0.7452  0.9087  4 S 3.11-3.19, 2 Cu 3.44, 2 Li 3.46
Tl  0.3364  0.2452  0.5816  4 S 3.11-3.19, 2 Cu 3.44, 2 Li 3.46
Tl  0.6636  0.7548  0.4184  4 S 3.11-3.19, 2 Cu 3.44, 2 Li 3.46
Tl  0.8364  0.2548  0.0913  4 S 3.11-3.19, 2 Cu 3.44, 2 Li 3.46
Cu  0.2500  0.7500  0.5000  4 S 2.42
Cu  0.7500  0.2500  0.5000  4 S 2.42
S  0.0817  0.2532  0.3349  2 Cu 2.42, 2 Li 2.44
S  0.4183  0.7532  0.1715  2 Cu 2.42, 2 Li 2.44
S  0.5817  0.2468  0.8285  2 Cu 2.42, 2 Li 2.44
S  0.9183  0.7468  0.6651  2 Cu 2.42, 2 Li 2.44

Values from the calculation:
Density in g cm⁻³: 6.68
Uncorrected formation energy in eV/atom: -0.54
Magnetization in μB/cell: 0.000
Calculated volume in Å³/cell: 270.0



Record 7
LiUCuS4: relaxed, PBE.

abc: 7.2612 7.2612 7.2612
angles: 120.00 112.16 97.06
With the nearest neighbours (Å) after each atom.
Fractional coordinates of all 14 atoms:
Li  0.4537  0.2037  0.2500  4 S 2.50-2.54
Li  0.5463  0.7963  0.7500  4 S 2.50-2.54
U  0.0000  0.5000  0.5000  6 S 2.53-2.63
U  0.5000  0.5000  0.0000  6 S 2.53-2.63
Cu  0.0000  0.0000  0.5000  4 S 2.41
Cu  0.0000  0.5000  0.0000  4 S 2.41
S  0.1860  0.2411  0.9449  2 Cu 2.41, 1 Li 2.50, 1 U 2.53
S  0.2039  0.7589  0.4449  2 Cu 2.41, 1 Li 2.50, 1 U 2.53
S  0.2905  0.3148  0.5243  1 Li 2.54, 2 U 2.63, 1 Cu 2.80
S  0.2905  0.7662  0.9757  1 Li 2.54, 2 U 2.63, 1 Cu 2.80
S  0.7095  0.2338  0.0243  1 Li 2.54, 2 U 2.63, 1 Cu 2.80
S  0.7095  0.6852  0.4757  1 Li 2.54, 2 U 2.63, 1 Cu 2.80
S  0.7961  0.2411  0.5551  2 Cu 2.41, 1 Li 2.50, 1 U 2.53
S  0.8140  0.7589  0.0551  2 Cu 2.41, 1 Li 2.50, 1 U 2.53

Values from the calculation:
Density in g cm⁻³: 5.13
Uncorrected formation energy in eV/atom: -0.93
Magnetization in μB/cell: 0.527
Calculated volume in Å³/cell: 283.0



Record 8
LiU2CuS6: relaxed, PBE.

abc: 6.4216 6.4226 7.1250
angles: 63.30 63.24 60.02
With the nearest neighbours (Å) after each atom.
Fractional coordinates of all 10 atoms:
Li  0.0000  0.0000  0.0000  6 S 2.54-2.77
U  0.3138  0.3132  0.0597  6 S 2.61-2.64
U  0.8157  0.8152  0.5534  6 S 2.62-2.64
Cu  0.4912  0.4968  0.5198  6 S 2.50-2.63
S  0.0895  0.4018  0.7893  1 Li 2.54, 1 Cu 2.60, 2 U 2.61-2.64
S  0.2335  0.8900  0.2953  1 Cu 2.50, 2 U 2.62-2.64, 1 Li 2.76
S  0.4022  0.7190  0.7898  1 Li 2.54, 1 Cu 2.59, 2 U 2.61-2.64
S  0.5810  0.2332  0.2960  1 Cu 2.52, 2 U 2.62-2.64, 1 Li 2.76
S  0.7197  0.0879  0.7905  1 Li 2.54, 2 U 2.61-2.63, 1 Cu 2.63
S  0.8897  0.5805  0.2956  1 Cu 2.51, 2 U 2.62-2.64, 1 Li 2.77

Values from the calculation:
Density in g cm⁻³: 5.64
Uncorrected formation energy in eV/atom: -1.04
Magnetization in μB/cell: 2.000
Calculated volume in Å³/cell: 217.5



Record 9
Li2UCuS4: relaxed, PBE.

abc: 6.0542 3.8834 6.4972
angles: 90.00 106.27 90.00
With the nearest neighbours (Å) after each atom.
Fractional coordinates of all 8 atoms:
Li  0.0000  0.0000  0.0000  6 S 2.65-2.66
Li  0.5000  0.5000  0.0000  6 S 2.50-2.73
U  0.0000  0.5000  0.5000  6 S 2.52-2.69
Cu  0.5000  0.0000  0.5000  2 S 2.37
S  0.2420  0.5000  0.2412  3 Li 2.50-2.66, 1 U 2.52, 2 Cu 2.75
S  0.2617  0.0000  0.7338  1 Cu 2.37, 1 Li 2.65
S  0.7383  0.0000  0.2662  1 Cu 2.37, 1 Li 2.65
S  0.7580  0.5000  0.7588  3 Li 2.50-2.66, 1 U 2.52, 2 Cu 2.75

Values from the calculation:
Density in g cm⁻³: 5.02
Uncorrected formation energy in eV/atom: -1.07
Magnetization in μB/cell: 1.007
Calculated volume in Å³/cell: 146.6



Record 10
LiUCu2S4: relaxed, PBE.

abc: 5.6305 5.6305 5.6305
angles: 111.47 111.26 105.74
With the nearest neighbours (Å) after each atom.
Fractional coordinates of all 8 atoms:
Li  0.0000  0.0000  0.0000  4 S 2.34
U  0.5000  0.5000  0.0000  8 S 2.85-2.87
Cu  0.2232  0.7232  0.5000  4 S 2.28-2.33
Cu  0.7768  0.2768  0.5000  4 S 2.28-2.33
S  0.0239  0.5914  0.0014  2 Cu 2.28-2.33, 1 Li 2.34
S  0.4100  0.4086  0.4324  2 Cu 2.28-2.33, 1 Li 2.34
S  0.5900  0.0224  0.9986  2 Cu 2.28-2.33, 1 Li 2.34
S  0.9761  0.9776  0.5676  2 Cu 2.28-2.33, 1 Li 2.34

Values from the calculation:
Density in g cm⁻³: 6.07
Uncorrected formation energy in eV/atom: -0.76
Magnetization in μB/cell: 1.565
Calculated volume in Å³/cell: 137.0



Record 11
Li3U3CuS8: relaxed, PBE.

abc: 7.5953 7.5953 7.6061
angles: 119.95 119.95 60.06
With the nearest neighbours (Å) after each atom.
Fractional coordinates of all 15 atoms:
Li  0.0000  0.0000  0.0000  6 S 2.64-2.71
Li  0.0000  0.5000  0.0000  6 S 2.65-2.71
Li  0.5000  0.0000  0.0000  6 S 2.65-2.71
U  0.0000  0.5000  0.5000  6 S 2.67-2.73
U  0.5000  0.0000  0.5000  6 S 2.67-2.73
U  0.5000  0.5000  0.5000  6 S 2.67-2.73
Cu  0.0000  0.0000  0.5000  6 S 2.61-2.62
S  0.2430  0.2430  0.7393  1 Cu 2.61, 2 U 2.67, 2 Li 2.71
S  0.2442  0.7524  0.7403  1 Cu 2.62, 2 U 2.67, 2 Li 2.71
S  0.2460  0.2460  0.2385  3 Li 2.64-2.65, 3 U 2.73
S  0.2476  0.7558  0.2596  1 Cu 2.62, 2 U 2.67, 2 Li 2.71
S  0.7524  0.2442  0.7403  1 Cu 2.62, 2 U 2.67, 2 Li 2.71
S  0.7540  0.7540  0.7615  3 Li 2.64-2.65, 3 U 2.73
S  0.7558  0.2476  0.2596  1 Cu 2.62, 2 U 2.67, 2 Li 2.71
S  0.7570  0.7570  0.2607  1 Cu 2.61, 2 U 2.67, 2 Li 2.71

Values from the calculation:
Density in g cm⁻³: 5.64
Uncorrected formation energy in eV/atom: -1.19
Magnetization in μB/cell: 5.996
Calculated volume in Å³/cell: 310.6



Record 12
Li3UCu2S6: relaxed, PBE.

abc: 6.2631 6.2631 6.4531
angles: 98.21 98.21 121.98
With the nearest neighbours (Å) after each atom.
Fractional coordinates of all 12 atoms:
Li  0.0000  0.0000  0.0000  6 S 2.51-2.62
Li  0.3291  0.6709  0.0000  6 S 2.60-2.66
Li  0.6709  0.3291  0.0000  6 S 2.60-2.66
U  0.5000  0.5000  0.5000  6 S 2.53-2.59
Cu  0.1556  0.8444  0.5000  4 S 2.38-2.54
Cu  0.8444  0.1556  0.5000  4 S 2.38-2.54
S  0.0720  0.4042  0.2659  1 Cu 2.38, 1 U 2.59, 3 Li 2.60-2.66
S  0.2526  0.2526  0.7543  3 Li 2.51-2.62, 1 U 2.53, 2 Cu 2.54
S  0.4042  0.0720  0.2659  1 Cu 2.38, 1 U 2.59, 3 Li 2.60-2.66
S  0.5958  0.9280  0.7341  1 Cu 2.38, 1 U 2.59, 3 Li 2.60-2.66
S  0.7474  0.7474  0.2457  3 Li 2.51-2.62, 1 U 2.53, 2 Cu 2.54
S  0.9280  0.5958  0.7341  1 Cu 2.38, 1 U 2.59, 3 Li 2.60-2.66

Values from the calculation:
Density in g cm⁻³: 4.68
Uncorrected formation energy in eV/atom: -0.92
Magnetization in μB/cell: 0.000
Calculated volume in Å³/cell: 205.2